# NaRe4P2

A relaxed NaRe4P2 crystal (PBE, Alexandria via LeMat-Bulk).

Structure (POSCAR):
```
NaRe4P2
1.0
4.096 0.000 0.000
0.000 13.742 0.000
0.000 0.000 4.036
Na Re P
2 8 4
direct
0.000 0.000 0.000
0.500 0.500 0.000
0.000 0.182 0.500
0.000 0.305 0.000
0.000 0.695 0.000
0.000 0.818 0.500
0.500 0.195 0.000
0.500 0.318 0.500
0.500 0.682 0.500
0.500 0.805 0.000
0.000 0.414 0.500
0.000 0.586 0.500
0.500 0.086 0.500
0.500 0.914 0.500
```

Properties
The density is 12.130 g/cm³. For the formation energy, the calculation gives -0.192 eV/atom. As for the density of states at the Fermi level: 8.6 states/eV/cell. The symmetry is Cmmm, No. 65.

# Na2ReP2

A relaxed Na2ReP2 crystal (PBE, Alexandria via LeMat-Bulk).

Structure (POSCAR):
```
Na2ReP2
1.0
6.150 0.000 0.000
0.000 6.150 0.000
0.000 0.000 4.792
Na Re P
4 2 4
direct
0.180 0.320 0.000
0.320 0.820 0.000
0.680 0.180 0.000
0.820 0.680 0.000
0.000 0.000 0.500
0.500 0.500 0.500
0.137 0.637 0.500
0.363 0.137 0.500
0.637 0.863 0.500
0.863 0.363 0.500
```

Properties
The density is 5.390 g/cm³. For the formation energy, the calculation gives -0.143 eV/atom. As for the density of states at the Fermi level: 5.9 states/eV/cell. The symmetry is P4/mbm, No. 127.

# NaRe3P

A relaxed NaRe3P crystal (PBE, Alexandria via LeMat-Bulk).

Structure (POSCAR):
```
NaRe3P
1.0
4.515 0.000 0.000
0.000 4.515 0.000
0.000 0.000 4.515
Na Re P
1 3 1
direct
0.000 0.000 0.000
0.000 0.000 0.500
0.000 0.500 0.000
0.500 0.000 0.000
0.500 0.500 0.500
```

Properties
The density is 11.049 g/cm³. For the formation energy, the calculation gives 3.376 eV/atom. Its distance to the lowest polymorph of the same formula is 2.311 eV per atom. As for the density of states at the Fermi level: 3.5 states/eV/cell. The symmetry is Pm-3m, No. 221.

# NaReP2

A relaxed NaReP2 crystal (PBE, Alexandria via LeMat-Bulk).

Structure (POSCAR):
```
NaReP2
1.0
2.976 0.000 0.000
0.000 2.976 0.000
0.000 0.000 7.278
Na Re P
1 1 2
direct
0.000 0.000 0.000
0.000 0.000 0.500
0.500 0.500 0.303
0.500 0.500 0.697
```

Properties
The density is 6.987 g/cm³. For the formation energy, the calculation gives -0.250 eV/atom. Its distance to the lowest polymorph of the same formula is 0.000 eV per atom. As for the density of states at the Fermi level: 0.9 states/eV/cell. The symmetry is P4/mmm, No. 123.

# NaReP2

A relaxed NaReP2 crystal (PBE, Alexandria via LeMat-Bulk).

Structure (POSCAR):
```
NaReP2
1.0
6.195 0.000 0.000
0.000 6.195 0.000
0.000 0.000 10.928
Na Re P
4 4 8
direct
0.000 0.000 0.000
0.000 0.500 0.250
0.500 0.000 0.750
0.500 0.500 0.500
0.000 0.000 0.500
0.000 0.500 0.750
0.500 0.000 0.250
0.500 0.500 0.000
0.143 0.250 0.625
0.250 0.643 0.875
0.250 0.857 0.375
0.357 0.250 0.125
0.643 0.750 0.125
0.750 0.143 0.375
0.750 0.357 0.875
0.857 0.750 0.625
```

Properties
The density is 4.294 g/cm³. For the formation energy, the calculation gives 0.007 eV/atom. Its distance to the lowest polymorph of the same formula is 0.256 eV per atom. As for the density of states at the Fermi level: 11.6 states/eV/cell. The symmetry is I-42d, No. 122.

# Na2ReP

A relaxed Na2ReP crystal (PBE, Alexandria via LeMat-Bulk).

Structure (POSCAR):
```
Na2ReP
1.0
11.195 0.000 0.000
0.000 11.195 0.000
0.000 0.000 4.506
Na Re P
8 4 4
direct
0.002 0.250 0.125
0.250 0.502 0.375
0.250 0.998 0.875
0.498 0.250 0.625
0.502 0.750 0.625
0.750 0.002 0.875
0.750 0.498 0.375
0.998 0.750 0.125
0.000 0.000 0.500
0.000 0.500 0.750
0.500 0.000 0.250
0.500 0.500 0.000
0.000 0.000 0.000
0.000 0.500 0.250
0.500 0.000 0.750
0.500 0.500 0.500
```

Properties
The density is 3.095 g/cm³. For the formation energy, the calculation gives 0.606 eV/atom. As for the density of states at the Fermi level: 11.3 states/eV/cell. The symmetry is I-42d, No. 122.

# NaReP2Ru

A relaxed NaReP2Ru crystal (PBE, Alexandria via LeMat-Bulk).

Structure (POSCAR):
```
NaReP2Ru
1.0
4.114 0.000 0.000
0.000 4.114 0.000
0.000 0.000 9.400
Na Re P Ru
2 2 4 2
direct
0.000 0.000 0.000
0.500 0.500 0.500
0.000 0.500 0.750
0.500 0.000 0.250
0.000 0.000 0.372
0.000 0.000 0.628
0.500 0.500 0.128
0.500 0.500 0.872
0.000 0.500 0.250
0.500 0.000 0.750
```

Properties
The density is 7.771 g/cm³. For the formation energy, the calculation gives -0.421 eV/atom. As for the density of states at the Fermi level: 3.4 states/eV/cell. The symmetry is I-4m2, No. 119.

# NaReP2S

A relaxed NaReP2S crystal (PBE, Alexandria via LeMat-Bulk).

Structure (POSCAR):
```
NaReP2S
1.0
4.728 0.000 0.000
0.000 4.728 0.000
0.000 0.000 4.692
Na Re P S
1 1 2 1
direct
0.000 0.000 0.000
0.500 0.500 0.500
0.000 0.500 0.000
0.500 0.000 0.000
0.000 0.000 0.500
```

Properties
The density is 4.800 g/cm³. Its distance to the lowest polymorph of the same formula is 1.889 eV per atom. As for the density of states at the Fermi level: 3.7 states/eV/cell. The uncorrected formation energy is 2050 meV/atom. The symmetry is P4/mmm, No. 123.